# 1
DFT (PBE) results for a relaxed NdSi4Ir4 crystal.

a b c (Å): 6.0111 6.0111 8.0896
angles (deg): 90.00 90.00 90.00
Space group P4_2/nmc (No. 137, origin choice 2)
Inequivalent atoms, fractional coordinates:
Nd  0.2500  0.7500  0.2500 x2
Si  0.0465  0.2500  0.0746 x8
Ir  0.0183  0.2500  0.3745 x8

Computed properties:
ΔE_f (raw) (meV/atom): -714.7

# 2
DFT (PBE) results for a relaxed LuTh2Zn crystal.

a b c (Å): 3.3751 3.3751 34.9967
angles (deg): 90.00 90.00 120.00
Space group R-3m (No. 166, hexagonal axes)
Inequivalent atoms, fractional coordinates:
Lu  0.0000  0.0000  0.0000 x3
Th  0.0000  0.0000  0.0945 x6
Zn  0.0000  0.0000  0.5000 x3

Computed properties:
DFT formation energy (kJ/mol of formula units): 87
Excess energy over the best structure of this formula in the dataset (eV/atom): 0.243

# 3
DFT (PBE) results for a relaxed KPuTlF6 crystal.

a b c (Å): 6.7084 6.7084 10.1129
angles (deg): 90.00 90.00 120.00
Space group P-31c (No. 163)
Inequivalent atoms, fractional coordinates:
K  0.3333  0.6667  0.2500 x2
Pu  0.3333  0.6667  0.7500 x2
Tl  0.0000  0.0000  0.0000 x2
F  0.0595  0.3964  0.6351 x12

Computed properties:
ΔE_f (raw) (meV/atom): -3006.1

# 4
DFT (PBE) results for a relaxed Th5TlAu4 crystal.

a b c (Å): 3.5636 3.5636 20.7153
angles (deg): 90.00 90.00 90.00
Space group P4/mmm (No. 123)
Inequivalent atoms, fractional coordinates:
Th  0.0000  0.0000  0.0000 x1
Th  0.0000  0.0000  0.1928 x2
Th  0.0000  0.0000  0.3866 x2
Tl  0.5000  0.5000  0.5000 x1
Au  0.5000  0.5000  0.0956 x2
Au  0.5000  0.5000  0.2908 x2

Computed properties:
DFT formation energy (kJ/mol of formula units): -468

# 5
DFT (PBE) results for a relaxed Nd3NiPt3 crystal.

a b c (Å): 4.0073 4.3567 18.3744
angles (deg): 90.00 90.00 90.00
Space group Imm2 (No. 44)
Inequivalent atoms, fractional coordinates:
Nd  0.0000  0.0000  0.0000 x2
Nd  0.0000  0.0000  0.3685 x2
Nd  0.0000  0.5000  0.1860 x2
Ni  0.0000  0.5000  0.7569 x2
Pt  0.0000  0.0000  0.5314 x2
Pt  0.0000  0.0000  0.8298 x2
Pt  0.0000  0.5000  0.6247 x2

Computed properties:
DFT formation energy (kJ/mol of formula units): -635

# 6
DFT (PBE) results for a relaxed HoPt3 crystal.

a b c (Å): 4.1093 4.1093 4.1093
angles (deg): 90.00 90.00 90.00
Space group Pm-3m (No. 221)
Inequivalent atoms, fractional coordinates:
Ho  0.0000  0.0000  0.0000 x1
Pt  0.0000  0.5000  0.5000 x3

Computed properties:
DFT formation energy (kJ/mol of formula units): -407

# 7
DFT (PBE) results for a relaxed HfZnS2N crystal.

a b c (Å): 5.0248 5.0248 4.0875
angles (deg): 90.00 90.00 90.00
Space group P4/mmm (No. 123)
Inequivalent atoms, fractional coordinates:
Hf  0.0000  0.0000  0.0000 x1
Zn  0.5000  0.5000  0.5000 x1
S  0.0000  0.5000  0.0000 x2
N  0.0000  0.0000  0.5000 x1

Computed properties:
ΔE_f (raw) (meV/atom): -102.2
Excess energy over the best structure of this formula in the dataset (eV/atom): 0.000

# 8
DFT (PBE) results for a relaxed PuNpN crystal.

a b c (Å): 3.2982 10.2735 5.0980
angles (deg): 90.00 90.00 90.00
Space group Cmcm (No. 63)
Inequivalent atoms, fractional coordinates:
Pu  0.0000  0.0095  0.2500 x4
Np  0.0000  0.3420  0.2500 x4
N  0.0000  0.3212  0.7500 x4

Computed properties:
ΔE_f (raw) (meV/atom): -886.5
Excess energy over the best structure of this formula in the dataset (eV/atom): 0.000

# 9
DFT (PBE) results for a relaxed Sm4GaNi3 crystal.

a b c (Å): 3.8514 4.3371 10.6664
angles (deg): 90.00 90.00 90.00
Space group Pmm2 (No. 25)
Inequivalent atoms, fractional coordinates:
Sm  0.0000  0.0000  0.0000 x1
Sm  0.0000  0.5000  0.2644 x1
Sm  0.5000  0.0000  0.4777 x1
Sm  0.5000  0.5000  0.7728 x1
Ga  0.0000  0.0000  0.6960 x1
Ni  0.0000  0.5000  0.5579 x1
Ni  0.5000  0.0000  0.2008 x1
Ni  0.5000  0.5000  0.0646 x1

Computed properties:
DFT formation energy (kJ/mol of formula units): -314

# 10
DFT (PBE) results for a relaxed MgPd6W crystal.

a b c (Å): 3.9445 3.9445 7.9226
angles (deg): 90.00 90.00 90.00
Space group P4/mmm (No. 123)
Inequivalent atoms, fractional coordinates:
Mg  0.0000  0.0000  0.0000 x1
Pd  0.0000  0.5000  0.2605 x4
Pd  0.5000  0.5000  0.0000 x1
Pd  0.5000  0.5000  0.5000 x1
W  0.0000  0.0000  0.5000 x1

Computed properties:
DFT formation energy (kJ/mol of formula units): -241

# 11
DFT (PBE) results for a relaxed Sr3NbGe crystal.

a b c (Å): 6.0211 6.0211 6.0211
angles (deg): 90.00 90.00 90.00
Space group Pm-3m (No. 221)
Inequivalent atoms, fractional coordinates:
Sr  0.0000  0.0000  0.5000 x3
Nb  0.5000  0.5000  0.5000 x1
Ge  0.0000  0.0000  0.0000 x1

Computed properties:
DFT formation energy (kJ/mol of formula units): 291
Excess energy over the best structure of this formula in the dataset (eV/atom): 0.000

# 12
DFT (PBE) results for a relaxed HOsCN crystal.

a b c (Å): 4.0155 3.4703 5.7308
angles (deg): 90.00 90.00 90.00
Space group Amm2 (No. 38)
Inequivalent atoms, fractional coordinates:
H  0.0000  0.0000  0.0000 x2
Os  0.5000  0.0000  0.2341 x2
C  0.5000  0.0000  0.5609 x2
N  0.0000  0.0000  0.1803 x2

Computed properties:
Excess energy over the best structure of this formula in the dataset (eV/atom): 0.154

# 13
DFT (PBE) results for a relaxed PuPa2Au crystal.

a b c (Å): 3.7427 3.7427 25.8691
angles (deg): 90.00 90.00 120.00
Space group R-3m (No. 166, hexagonal axes)
Inequivalent atoms, fractional coordinates:
Pu  0.0000  0.0000  0.0000 x3
Pa  0.0000  0.0000  0.3879 x6
Au  0.0000  0.0000  0.5000 x3

Computed properties:
DFT formation energy (kJ/mol of formula units): 230
Excess energy over the best structure of this formula in the dataset (eV/atom): 0.764

# 14
DFT (PBE) results for a relaxed Ti2SnRu3 crystal.

a b c (Å): 3.1322 3.1322 9.3691
angles (deg): 90.00 90.00 90.00
Space group P4/mmm (No. 123)
Inequivalent atoms, fractional coordinates:
Ti  0.0000  0.0000  0.1627 x2
Sn  0.0000  0.0000  0.5000 x1
Ru  0.5000  0.5000  0.0000 x1
Ru  0.5000  0.5000  0.3221 x2

Computed properties:
DFT formation energy (kJ/mol of formula units): -327

# 15
DFT (PBE) results for a relaxed K2Ca2TaS6 crystal.

a b c (Å): 6.9035 11.6515 7.8346
angles (deg): 90.00 107.75 90.00
Space group C2/m (No. 12)
Inequivalent atoms, fractional coordinates:
K  0.0000  0.1742  0.0000 x4
Ca  0.0000  0.3354  0.5000 x4
Ta  0.0000  0.0000  0.5000 x2
S  0.2160  0.1486  0.6935 x8
S  0.2251  0.0000  0.3066 x4

Computed properties:
ΔE_f (raw) (meV/atom): -1354.8

# 16
DFT (PBE) results for a relaxed Pm2Pr12Ho crystal.

a b c (Å): 6.6557 6.6557 25.7285
angles (deg): 90.00 90.00 90.00
Space group P4/nbm (No. 125, origin choice 2)
Inequivalent atoms, fractional coordinates:
Pm  0.2500  0.7500  0.2326 x4
Pr  0.0654  0.5654  0.3876 x8
Pr  0.0821  0.5821  0.9375 x8
Pr  0.2500  0.2500  0.1632 x4
Pr  0.2500  0.2500  0.2864 x4
Ho  0.2500  0.7500  0.5000 x2

Computed properties:
DFT formation energy (kJ/mol of formula units): 447

# 17
DFT (PBE) results for a relaxed Re2NO crystal.

a b c (Å): 5.4957 5.4957 5.4957
angles (deg): 90.00 90.00 90.00
Space group Fm-3m (No. 225)
Inequivalent atoms, fractional coordinates:
Re  0.2500  0.2500  0.2500 x8
N  0.0000  0.0000  0.0000 x4
O  0.0000  0.0000  0.5000 x4

Computed properties:
ΔE_f (raw) (meV/atom): 968.3
Excess energy over the best structure of this formula in the dataset (eV/atom): 0.598

# 18
DFT (PBE) results for a relaxed KAs2W2 crystal.

a b c (Å): 4.9028 4.9028 8.8468
angles (deg): 90.00 90.00 90.00
Space group I4/mmm (No. 139)
Inequivalent atoms, fractional coordinates:
K  0.0000  0.0000  0.0000 x2
As  0.0000  0.5000  0.2500 x4
W  0.0000  0.0000  0.3685 x4

Computed properties:
DFT formation energy (kJ/mol of formula units): 165
Excess energy over the best structure of this formula in the dataset (eV/atom): 0.499

no.,DFT total energy (Ry per atom)
1,-0.5581
2,-0.3626
3,-0.4580
4,-0.4220
5,-0.4703
6,-0.4947
7,-0.4163
8,-0.9373
9,-0.3905
10,-0.4428
11,-0.2457
12,-0.5467
13,-0.6288
14,-0.6248
15,-0.3857
16,-0.3273
17,-0.6304
18,-0.5085